1.
Here is a geometry-optimized CuAgRh2 structure from Alexandria via LeMat-Bulk. Energies are from GGA-PBE.

Unit cell a=9.1361 b=9.1361 c=9.1361 alpha=17.32 beta=17.32 gamma=17.32
Each line ends with the local moment (μB).
Atoms (fractional coordinates):
Ag (0.2500, 0.2500, 0.2500)  0.02
Cu (0.7500, 0.7500, 0.7500)  0.12
Rh (0.0060, 0.0060, 0.0060)  0.71
Rh (0.4940, 0.4940, 0.4940)  0.71

Crystal system: trigonal
Calculated formation energy (eV per atom): 0.180
ρ (Mg/m³): 10.623

***

2.
Here is a geometry-optimized Y4HoTe7 structure from Alexandria via LeMat-Bulk. Energies are from GGA-PBE.

Unit cell a=4.2392 b=7.4586 c=13.1782 alpha=103.55 beta=90.00 gamma=106.51
Atoms (fractional coordinates):
Y (0.7009, 0.4019, 0.8134)
Y (0.2990, 0.5981, 0.1868)
Y (0.0000, 0.9999, 0.9995)
Y (0.1151, 0.2303, 0.4241)
Ho (0.8846, 0.7692, 0.5761)
Te (0.7435, 0.4870, 0.3516)
Te (0.2581, 0.5162, 0.6491)
Te (0.3393, 0.6786, 0.9519)
Te (0.6606, 0.3211, 0.0481)
Te (0.0375, 0.0749, 0.7827)
Te (0.9622, 0.9244, 0.2162)
Te (0.4992, 0.9984, 0.5004)

Crystal system: monoclinic
ρ (Mg/m³): 6.060
Formation energy from raw total energies (eV/atom): -1.3851

***

3.
Here is a geometry-optimized Tb3Dy2Ga2 structure from Alexandria via LeMat-Bulk. Energies are from GGA-PBE.

Unit cell a=4.0802 b=6.4035 c=8.5941 alpha=112.09 beta=90.00 gamma=108.58
Atoms (fractional coordinates):
Tb (0.5000, 0.0000, 0.0000)
Tb (0.6175, 0.2351, 0.4357)
Tb (0.3825, 0.7649, 0.5643)
Dy (0.8497, 0.6994, 0.1904)
Dy (0.1503, 0.3006, 0.8096)
Ga (0.8241, 0.6481, 0.7890)
Ga (0.1759, 0.3519, 0.2110)

Crystal system: monoclinic
Calculated formation energy (eV per atom): -0.315
ρ (Mg/m³): 8.000

***

| no. | total magnetic moment (μB per formula unit) | density of states at the Fermi level (states/eV/cell) |
| --- | --- | --- |
| 1 | 1.6 | 6.0 |
| 2 | 0.0 | 2.8 |
| 3 | 0.0 | 7.2 |